1.
NaInCoPb2: relaxed, GGA-PBE.

abc: 5.156 5.156 5.053
angles: 90.00 90.00 90.00
Fractional coordinates of all 5 atoms:
Pb1 0.000 0.500 0.000
Pb2 0.500 0.000 0.000
Na1 0.500 0.500 0.500
Co1 0.000 0.000 0.000
In1 0.000 0.000 0.500

## Properties
* total moment: 0.86 μB/f.u.
* energy of formation: 0.10 eV/atom


2.
NaIn2CoPb: relaxed, GGA-PBE.

abc: 5.032 5.032 5.069
angles: 90.00 90.00 90.00
Fractional coordinates of all 5 atoms:
Pb1 0.000 0.000 0.500
Na1 0.500 0.500 0.500
Co1 0.000 0.000 0.000
In1 0.000 0.500 0.000
In2 0.500 0.000 0.000

## Properties
* total moment: 0.10 μB/f.u.
* energy of formation: 0.04 eV/atom


3.
NaIn2CoSb: relaxed, GGA-PBE.

abc: 4.894 4.876 4.894
angles: 90.00 90.00 90.00
Fractional coordinates of all 5 atoms:
Na1 0.500 0.500 0.500
Sb1 0.000 0.500 0.000
Co1 0.000 0.000 0.000
In1 0.000 0.000 0.500
In2 0.500 0.000 0.000

## Properties
* total moment: 0.00 μB/f.u.
* raw formation energy: 0.1 eV/f.u.


4.
NaInCoSn2: relaxed, GGA-PBE.

abc: 4.984 4.984 4.999
angles: 90.00 90.00 90.00
Fractional coordinates of all 5 atoms:
Na1 0.500 0.500 0.500
Co1 0.000 0.000 0.000
Sn1 0.000 0.500 0.000
Sn2 0.500 0.000 0.000
In1 0.000 0.000 0.500

## Properties
* total moment: 0.01 μB/f.u.
* energy of formation: 0.00 eV/atom


5.
Na2SrInCo: relaxed, GGA-PBE.

abc: 5.681 6.395 5.681
angles: 90.00 90.00 90.00
Fractional coordinates of all 5 atoms:
Na1 0.000 0.000 0.500
Na2 0.500 0.000 0.000
Sr1 0.000 0.500 0.000
Co1 0.500 0.500 0.500
In1 0.000 0.000 0.000

## Properties
* total moment: 2.08 μB/f.u.
* energy of formation: 0.82 eV/atom


6.
NaTaInCo2: relaxed, GGA-PBE.

abc: 4.299 4.584 4.299
angles: 90.00 90.00 90.00
Fractional coordinates of all 5 atoms:
Na1 0.000 0.000 0.000
In1 0.000 0.500 0.000
Co1 0.000 0.000 0.500
Co2 0.500 0.000 0.000
Ta1 0.500 0.500 0.500

## Properties
* total moment: 3.29 μB/f.u.
* energy of formation: 1.70 eV/atom


7.
Na2TiInCo: relaxed, GGA-PBE.

abc: 5.817 4.074 5.817
angles: 90.00 90.00 90.00
Fractional coordinates of all 5 atoms:
Na1 0.000 0.000 0.500
Na2 0.500 0.000 0.000
Ti1 0.000 0.000 0.000
Co1 0.000 0.500 0.000
In1 0.500 0.500 0.500

## Properties
* total moment: 0.00 μB/f.u.
* energy of formation: 0.85 eV/atom


8.
NaTlInCo2: relaxed, GGA-PBE.

abc: 5.004 5.632 5.004
angles: 90.00 90.00 90.00
Fractional coordinates of all 5 atoms:
Na1 0.500 0.500 0.500
Tl1 0.000 0.000 0.000
Co1 0.000 0.000 0.500
Co2 0.500 0.000 0.000
In1 0.000 0.500 0.000

## Properties
* total moment: 3.32 μB/f.u.
* energy of formation: 1.12 eV/atom


9.
NaZn2InCo: relaxed, GGA-PBE.

abc: 4.699 4.699 4.861
angles: 90.00 90.00 90.00
Fractional coordinates of all 5 atoms:
Na1 0.500 0.500 0.500
Zn1 0.000 0.500 0.000
Zn2 0.500 0.000 0.000
Co1 0.000 0.000 0.000
In1 0.000 0.000 0.500

## Properties
* total moment: 0.00 μB/f.u.
* energy of formation: 0.06 eV/atom


10.
NbInCo3: relaxed, GGA-PBE.

abc: 4.536 4.536 4.536
angles: 90.00 90.00 90.00
Fractional coordinates of all 5 atoms:
Nb1 0.500 0.500 0.500
Co1 0.000 0.500 0.000
Co2 0.000 0.000 0.500
Co3 0.500 0.000 0.000
In1 0.000 0.000 0.000

## Properties
* total moment: 3.45 μB/f.u.
* energy relative to the lowest polymorph listed for this composition: 0.448 eV per atom
* energy of formation: 1.62 eV/atom


11.
NbIn2Co2: relaxed, GGA-PBE.

abc: 6.362 6.362 4.095
angles: 90.00 90.00 90.00
Fractional coordinates of all 10 atoms:
Nb1 0.000 0.000 0.000
Nb2 0.500 0.500 0.000
Co1 0.371 0.871 0.000
Co2 0.871 0.629 0.000
Co3 0.629 0.129 0.000
Co4 0.129 0.371 0.000
In1 0.174 0.674 0.500
In2 0.674 0.826 0.500
In3 0.826 0.326 0.500
In4 0.326 0.174 0.500

## Properties
* total moment: 0.00 μB/f.u.
* energy of formation: 0.09 eV/atom


12.
NbInCo2: relaxed, GGA-PBE.

abc: 6.822 6.822 5.590
angles: 52.40 52.40 90.00
Fractional coordinates of all 8 atoms:
Nb1 0.500 0.500 0.000
Nb2 0.250 0.750 0.500
Co1 0.593 0.125 0.250
Co2 0.157 0.625 0.250
Co3 0.375 0.407 0.750
Co4 0.875 0.843 0.750
In1 0.000 0.000 0.000
In2 0.750 0.250 0.500

## Properties
* total moment: 0.00 μB/f.u.
* energy of formation: 0.47 eV/atom


13.
NbInCo2: relaxed, GGA-PBE.

abc: 3.101 4.377 4.377
angles: 90.00 90.00 90.00
Fractional coordinates of all 4 atoms:
Nb1 0.500 0.500 0.500
Co1 0.000 0.000 0.500
Co2 0.000 0.500 0.000
In1 0.500 0.000 0.000

## Properties
* total moment: 1.94 μB/f.u.
* energy of formation: 0.04 eV/atom


14.
NbIn2Co: relaxed, GGA-PBE.

abc: 7.438 7.438 5.946
angles: 51.28 51.28 90.00
Fractional coordinates of all 8 atoms:
Nb1 0.000 0.000 0.000
Nb2 0.750 0.250 0.500
Co1 0.500 0.500 0.000
Co2 0.250 0.750 0.500
In1 0.585 0.125 0.250
In2 0.165 0.625 0.250
In3 0.375 0.415 0.750
In4 0.875 0.835 0.750

## Properties
* total moment: 0.00 μB/f.u.
* energy of formation: 0.47 eV/atom


15.
Nb3InCo3: relaxed, GGA-PBE.

abc: 7.596 7.596 7.596
angles: 90.00 90.00 90.00
Fractional coordinates of all 28 atoms:
Nb1 0.828 0.328 0.172
Nb2 0.890 0.890 0.890
Nb3 0.783 0.717 0.283
Nb4 0.172 0.828 0.328
Nb5 0.217 0.217 0.217
Nb6 0.283 0.783 0.717
Nb7 0.110 0.390 0.610
Nb8 0.328 0.172 0.828
Nb9 0.717 0.283 0.783
Nb10 0.672 0.672 0.672
Nb11 0.610 0.110 0.390
Nb12 0.390 0.610 0.110
In1 0.047 0.547 0.953
In2 0.953 0.047 0.547
In3 0.453 0.453 0.453
In4 0.547 0.953 0.047
Co1 0.686 0.587 0.992
Co2 0.913 0.008 0.186
Co3 0.992 0.686 0.587
Co4 0.087 0.508 0.314
Co5 0.314 0.087 0.508
Co6 0.186 0.913 0.008
Co7 0.008 0.186 0.913
Co8 0.413 0.492 0.814
Co9 0.508 0.314 0.087
Co10 0.587 0.992 0.686
Co11 0.814 0.413 0.492
Co12 0.492 0.814 0.413

## Properties
* total moment: 0.00 μB/f.u.
* energy of formation: 0.00 eV/atom


16.
NbIn3Co: relaxed, GGA-PBE.

abc: 5.362 5.362 5.362
angles: 90.00 90.00 90.00
Fractional coordinates of all 5 atoms:
Nb1 0.000 0.000 0.000
Co1 0.500 0.500 0.500
In1 0.000 0.500 0.000
In2 0.000 0.000 0.500
In3 0.500 0.000 0.000

## Properties
* total moment: 2.47 μB/f.u.
* energy relative to the lowest polymorph listed for this composition: 0.590 eV per atom
* energy of formation: 1.29 eV/atom


17.
NbIn3Co: relaxed, GGA-PBE.

abc: 4.782 4.782 4.782
angles: 90.00 90.00 90.00
Fractional coordinates of all 5 atoms:
Nb1 0.500 0.500 0.500
Co1 0.000 0.000 0.000
In1 0.000 0.500 0.000
In2 0.000 0.000 0.500
In3 0.500 0.000 0.000

## Properties
* total moment: 0.00 μB/f.u.
* energy relative to the lowest polymorph listed for this composition: 0.000 eV per atom
* energy of formation: 0.70 eV/atom


18.
NbInCo2: relaxed, GGA-PBE.

abc: 3.141 3.141 6.108
angles: 90.00 90.00 90.00
Fractional coordinates of all 4 atoms:
Nb1 0.500 0.500 0.000
Co1 0.000 0.000 0.778
Co2 0.000 0.000 0.222
In1 0.500 0.500 0.500

## Properties
* total moment: 1.40 μB/f.u.
* energy of formation: -0.06 eV/atom


19.
NbInCo3: relaxed, GGA-PBE.

abc: 4.475 4.475 4.475
angles: 90.00 90.00 90.00
Fractional coordinates of all 5 atoms:
Nb1 0.000 0.000 0.000
Co1 0.000 0.500 0.000
Co2 0.000 0.000 0.500
Co3 0.500 0.000 0.000
In1 0.500 0.500 0.500

## Properties
* total moment: 0.00 μB/f.u.
* energy relative to the lowest polymorph listed for this composition: 0.000 eV per atom
* energy of formation: 1.17 eV/atom


20.
Nb3InCo: relaxed, GGA-PBE.

abc: 4.633 4.633 4.633
angles: 90.00 90.00 90.00
Fractional coordinates of all 5 atoms:
Nb1 0.000 0.500 0.000
Nb2 0.000 0.000 0.500
Nb3 0.500 0.000 0.000
Co1 0.000 0.000 0.000
In1 0.500 0.500 0.500

## Properties
* total moment: 0.00 μB/f.u.
* energy relative to the lowest polymorph listed for this composition: 0.000 eV per atom
* energy of formation: 0.49 eV/atom